PBE-GGA Tm12Co6Os, optimized geometry; size of the total moment = 0.000 μB per formula unit; volume = 407.3 Å³/cell; uncorrected energy = -5.851 eV/atom; crystal system = cubic
1.0
-7.356 3.242 -0.892
-0.051 -7.601 -2.763
2.018 0.008 7.832
Co Tm Os
6 12 1
Cartesian
-1.062 -2.551 5.195
0.120 -4.305 2.108
-2.949 -5.091 0.116
-5.508 -0.046 2.069
-4.326 -1.801 -1.018
-2.439 0.739 4.061
-2.417 -4.476 2.837
-0.208 -5.821 -0.035
-4.951 -2.743 1.373
-0.437 -1.608 2.804
-0.526 0.172 5.798
-4.862 -4.524 -1.621
-5.180 1.469 4.212
-1.797 -2.720 -0.109
-5.766 0.399 -0.724
0.377 -4.751 4.901
-3.591 -1.632 4.286
-2.971 0.125 1.340
0.000 0.000 0.000

***

PBE-GGA Li6Ca3Ag20, optimized geometry; size of the total moment = 0.000 μB per formula unit; volume = 532.4 Å³/cell; uncorrected energy = -2.683 eV/atom; crystal system = cubic
1.0
-0.740 -7.168 5.553
1.889 -8.351 -3.075
7.474 -4.322 2.869
Ag Li Ca
20 6 3
Cartesian
-0.257 -2.493 1.931
5.531 -5.723 0.802
0.975 -7.939 -0.075
-0.482 -4.675 3.622
5.320 -12.240 3.299
1.824 -10.219 1.957
0.174 -7.579 2.552
2.957 -10.953 4.646
4.187 -11.506 0.610
1.232 -5.447 -2.006
2.117 -6.178 4.620
4.617 -5.311 3.803
3.831 -6.950 -1.008
6.799 -9.621 3.390
2.599 -1.503 0.998
0.657 -2.904 -1.070
4.875 -2.819 1.871
4.436 -8.334 4.737
3.303 -7.600 2.048
5.666 -8.887 0.701
5.421 -10.639 5.306
2.863 -12.484 2.584
6.625 -11.181 1.355
1.998 -8.660 3.992
3.202 -9.201 0.041
5.760 -7.356 2.763
0.000 0.000 0.000
6.467 -14.880 4.010
2.156 -4.960 1.337